# 1
DFT (PBE) results for a relaxed AcAgGe crystal.

The structure in POSCAR format:
```
AcAgGe
1.0
-2.076 0.221 3.862
-4.027 -0.408 -2.142
2.231 -3.741 1.414
Ac Ag Ge
1 1 1
Direct
0.667 0.333 0.667
0.168 0.667 0.333
0.164 0.000 0.000
```

## Properties
Density of states at the Fermi level ... 1.6 states/eV/f.u.
Density ... 8.5 g/cm3
Calculated total energy ... -4.41 eV/atom

---

# 2
DFT (PBE) results for a relaxed Ac5AgGe4 crystal.

The structure in POSCAR format:
```
Ac5AgGe4
1.0
3.813 0.000 0.000
0.000 3.813 0.000
0.000 0.000 20.549
Ac Ag Ge
5 1 4
Direct
0.500 0.500 0.299
0.500 0.500 0.500
0.500 0.500 0.701
0.500 0.500 0.896
0.500 0.500 0.104
0.000 0.000 0.000
0.000 0.000 0.804
0.000 0.000 0.398
0.000 0.000 0.602
0.000 0.000 0.196
```

## Properties
Density of states at the Fermi level ... 3.9 states/eV/f.u.
Density ... 8.5 g/cm3
Calculated total energy ... -4.69 eV/atom

---

# 3
DFT (PBE) results for a relaxed Ac5Ag12Ge3 crystal.

The structure in POSCAR format:
```
Ac5Ag12Ge3
1.0
-6.323 13.211 -1.415
-6.847 -7.607 10.572
14.172 1.702 3.576
Ag Ge Ac
48 12 20
Direct
0.548 0.639 0.387
0.387 0.248 0.339
0.091 0.452 0.839
0.861 0.248 0.409
0.661 0.252 0.613
0.161 0.048 0.909
0.139 0.752 0.591
0.548 0.909 0.661
0.387 0.139 0.548
0.752 0.613 0.161
0.909 0.361 0.248
0.339 0.591 0.452
0.248 0.387 0.839
0.113 0.952 0.361
0.839 0.952 0.091
0.339 0.748 0.387
0.887 0.839 0.748
0.139 0.387 0.048
0.409 0.661 0.048
0.661 0.409 0.548
0.591 0.252 0.139
0.887 0.048 0.639
0.048 0.161 0.409
0.613 0.752 0.661
0.639 0.548 0.887
0.252 0.661 0.113
0.613 0.861 0.452
0.952 0.113 0.861
0.113 0.161 0.252
0.452 0.361 0.613
0.252 0.591 0.639
0.952 0.839 0.591
0.409 0.748 0.861
0.909 0.548 0.161
0.839 0.887 0.248
0.048 0.887 0.139
0.861 0.613 0.952
0.361 0.909 0.748
0.752 0.139 0.091
0.161 0.113 0.752
0.748 0.339 0.887
0.248 0.861 0.909
0.091 0.639 0.752
0.361 0.452 0.113
0.452 0.091 0.339
0.639 0.091 0.252
0.591 0.339 0.952
0.748 0.409 0.361
0.250 0.125 0.375
0.375 0.625 0.250
0.625 0.250 0.375
0.750 0.875 0.625
0.875 0.125 0.250
0.125 0.250 0.875
0.375 0.750 0.625
0.750 0.375 0.125
0.125 0.875 0.750
0.875 0.750 0.125
0.250 0.625 0.875
0.625 0.375 0.750
0.375 0.125 0.750
0.750 0.625 0.375
0.000 0.500 0.500
0.500 0.500 0.500
0.125 0.750 0.375
0.625 0.750 0.875
0.500 0.500 0.000
0.000 0.000 0.500
0.250 0.375 0.625
0.000 0.500 0.000
0.000 0.000 0.000
0.125 0.375 0.250
0.750 0.125 0.875
0.625 0.875 0.250
0.875 0.250 0.625
0.250 0.875 0.125
0.500 0.000 0.500
0.375 0.250 0.125
0.500 0.000 0.000
0.875 0.625 0.750
```

## Properties
Density of states at the Fermi level ... 12.2 states/eV/f.u.
Density ... 7.2 g/cm3
Calculated total energy ... -3.16 eV/atom

---

# 4
DFT (PBE) results for a relaxed Ac2Ag4HgGe3 crystal.

The structure in POSCAR format:
```
Ac2Ag4HgGe3
1.0
4.546 0.000 0.000
0.000 4.546 0.000
0.000 0.000 11.294
Ag Hg Ac Ge
4 1 2 3
Direct
0.500 0.500 0.000
0.000 0.000 0.000
0.500 0.000 0.643
0.000 0.500 0.357
0.500 0.500 0.500
0.500 0.000 0.238
0.000 0.500 0.762
0.000 0.000 0.500
0.000 0.500 0.131
0.500 0.000 0.869
```

## Properties
Density of states at the Fermi level ... 4.8 states/eV/f.u.
Density ... 9.3 g/cm3
Calculated total energy ... -3.73 eV/atom

---

# 5
DFT (PBE) results for a relaxed Ac2Ag3HgGe4 crystal.

The structure in POSCAR format:
```
Ac2Ag3HgGe4
1.0
-1.563 4.065 -1.474
-3.566 -2.098 -2.005
-5.820 1.099 9.201
Ag Ge Ac Hg
3 4 2 1
Direct
0.000 0.500 0.125
0.500 0.000 0.875
0.000 0.000 0.500
0.500 0.000 0.641
0.500 0.500 0.000
0.000 0.000 0.000
0.000 0.500 0.359
0.500 0.000 0.245
0.000 0.500 0.755
0.500 0.500 0.500
```

## Properties
Density of states at the Fermi level ... 3.2 states/eV/f.u.
Density ... 9.1 g/cm3
Calculated total energy ... -3.93 eV/atom

---

# 6
DFT (PBE) results for a relaxed AcHoAgGe crystal.

The structure in POSCAR format:
```
AcHoAgGe
1.0
-1.844 -3.711 -3.352
2.217 -4.846 -0.091
-2.689 -4.197 1.888
Ag Ho Ge Ac
1 1 1 1
Direct
0.750 0.750 0.750
0.000 0.000 0.000
0.250 0.250 0.250
0.500 0.500 0.500
```

## Properties
Density of states at the Fermi level ... 4.3 states/eV/f.u.
Density ... 8.9 g/cm3
Calculated total energy ... -4.46 eV/atom

---

# 7
DFT (PBE) results for a relaxed Ac8AgGe3I4 crystal.

The structure in POSCAR format:
```
Ac8AgGe3I4
1.0
-4.194 0.858 -8.281
-2.463 -9.294 0.285
-2.470 5.547 7.073
I Ac Ge Ag
4 8 3 1
Direct
0.500 0.000 0.000
0.000 0.000 0.500
0.000 0.000 0.000
0.500 0.000 0.500
0.268 0.291 0.030
0.238 0.709 0.477
0.762 0.291 0.523
0.265 0.295 0.530
0.732 0.709 0.970
0.735 0.705 0.470
0.238 0.709 0.970
0.762 0.291 0.030
0.500 0.500 0.000
0.500 0.500 0.500
0.000 0.500 0.500
0.000 0.500 0.000
```

## Properties
Density of states at the Fermi level ... 10.7 states/eV/f.u.
Density ... 7.3 g/cm3
Formation energy without anion corrections ... -85 kJ/mol of atoms
Calculated total energy ... -4.37 eV/atom

---

# 8
DFT (PBE) results for a relaxed AcIn2Ag2Ge crystal.

The structure in POSCAR format:
```
AcIn2Ag2Ge
1.0
-1.730 0.672 -4.119
-1.566 -4.238 -0.034
-5.601 4.433 5.554
Ag Ge In Ac
2 1 2 1
Direct
0.146 0.146 0.292
0.854 0.854 0.708
0.000 0.000 0.000
0.250 0.750 0.500
0.750 0.250 0.500
0.500 0.500 0.000
```

## Properties
Density of states at the Fermi level ... 2.6 states/eV/f.u.
Density ... 7.2 g/cm3
Calculated total energy ... -3.41 eV/atom